Below is a relaxed InCu2Br4 crystal, with properties calculated at the PBE level.

Lattice parameters (Å, degrees): 5.737 5.737 6.723 90.00 90.00 90.00
Positions (direct):
In: 0.000 0.000 0.000
Cu: 0.000 0.500 0.500
Cu: 0.500 0.000 0.500
Br: 0.263 0.263 0.293
Br: 0.263 0.737 0.707
Br: 0.737 0.263 0.707
Br: 0.737 0.737 0.293

The calculation puts the formation energy (no corrections) at -0.41 eV per atom. Its density of states at the Fermi level is 4.0 states/eV per cell.

Below is a relaxed InCuBr3 crystal, with properties calculated at the PBE level.

Lattice parameters (Å, degrees): 6.836 6.836 12.619 96.37 96.37 35.71
Positions (direct):
In: 0.100 0.100 0.454
In: 0.900 0.900 0.546
Cu: 0.420 0.420 0.156
Cu: 0.580 0.580 0.844
Br: 0.135 0.135 0.908
Br: 0.302 0.302 0.397
Br: 0.437 0.437 0.700
Br: 0.563 0.563 0.300
Br: 0.698 0.698 0.603
Br: 0.865 0.865 0.092

The calculation puts the formation energy (no corrections) at -0.48 eV per atom. Its density of states at the Fermi level is 2.7 states/eV per cell. Its energy above the most stable polymorph in this dataset is 0 meV/atom.

Below is a relaxed InCuBr2 crystal, with properties calculated at the PBE level.

Lattice parameters (Å, degrees): 4.464 6.427 9.439 90.00 90.00 90.00
Positions (direct):
In: 0.000 0.000 0.000
In: 0.500 0.500 0.000
Cu: 0.000 0.500 0.642
Cu: 0.500 0.000 0.642
Br: 0.000 0.000 0.578
Br: 0.000 0.500 0.192
Br: 0.500 0.000 0.192
Br: 0.500 0.500 0.578

The calculation puts the formation energy (no corrections) at -0.24 eV per atom. Its energy above the most stable polymorph in this dataset is 190 meV/atom.

Below is a relaxed In2CuBr4 crystal, with properties calculated at the PBE level.

Lattice parameters (Å, degrees): 5.233 5.233 15.503 90.00 90.00 90.00
Positions (direct):
In: 0.000 0.000 0.137
In: 0.000 0.000 0.863
In: 0.500 0.500 0.363
In: 0.500 0.500 0.637
Cu: 0.000 0.000 0.500
Cu: 0.500 0.500 0.000
Br: 0.000 0.000 0.336
Br: 0.000 0.000 0.664
Br: 0.000 0.500 0.000
Br: 0.000 0.500 0.500
Br: 0.500 0.000 0.000
Br: 0.500 0.000 0.500
Br: 0.500 0.500 0.164
Br: 0.500 0.500 0.836

The calculation puts the formation energy (no corrections) at -0.47 eV per atom. Its density of states at the Fermi level is 8.3 states/eV per cell.

Below is a relaxed InCuBr2 crystal, with properties calculated at the PBE level.

Lattice parameters (Å, degrees): 5.282 5.282 3.681 90.00 90.00 90.00
Positions (direct):
In: 0.000 0.000 0.000
Cu: 0.500 0.500 0.000
Br: 0.000 0.500 0.500
Br: 0.500 0.000 0.500

The calculation puts the formation energy (no corrections) at -0.03 eV per atom. Its density of states at the Fermi level is 0.5 states/eV per cell. Its energy above the most stable polymorph in this dataset is 395 meV/atom.

Below is a relaxed InCuBr2 crystal, with properties calculated at the PBE level.

Lattice parameters (Å, degrees): 7.581 7.581 8.044 90.00 90.00 90.00
Positions (direct):
In: 0.000 0.000 0.000
In: 0.000 0.500 0.250
In: 0.500 0.000 0.750
In: 0.500 0.500 0.500
Cu: 0.000 0.000 0.500
Cu: 0.000 0.500 0.750
Cu: 0.500 0.000 0.250
Cu: 0.500 0.500 0.000
Br: 0.165 0.250 0.625
Br: 0.250 0.665 0.875
Br: 0.250 0.835 0.375
Br: 0.335 0.250 0.125
Br: 0.665 0.750 0.125
Br: 0.750 0.165 0.375
Br: 0.750 0.335 0.875
Br: 0.835 0.750 0.625

The calculation puts the formation energy (no corrections) at -0.41 eV per atom. Its density of states at the Fermi level is 0.0 states/eV per cell. Its energy above the most stable polymorph in this dataset is 12 meV/atom.

Below is a relaxed In2CuBr crystal, with properties calculated at the PBE level.

Lattice parameters (Å, degrees): 7.485 7.485 7.485 90.00 90.00 90.00
Positions (direct):
In: 0.250 0.250 0.250
In: 0.250 0.250 0.750
In: 0.250 0.750 0.250
In: 0.250 0.750 0.750
In: 0.750 0.250 0.250
In: 0.750 0.250 0.750
In: 0.750 0.750 0.250
In: 0.750 0.750 0.750
Cu: 0.000 0.000 0.000
Cu: 0.000 0.500 0.500
Cu: 0.500 0.000 0.500
Cu: 0.500 0.500 0.000
Br: 0.000 0.000 0.500
Br: 0.000 0.500 0.000
Br: 0.500 0.000 0.000
Br: 0.500 0.500 0.500

The calculation puts the formation energy (no corrections) at 0.12 eV per atom. Its density of states at the Fermi level is 2.5 states/eV per cell. Its energy above the most stable polymorph in this dataset is 237 meV/atom.

Below is a relaxed In2Cu2Br crystal, with properties calculated at the PBE level.

Lattice parameters (Å, degrees): 7.874 7.874 3.339 90.00 90.00 90.00
Positions (direct):
In: 0.182 0.318 0.000
In: 0.318 0.818 0.000
In: 0.682 0.182 0.000
In: 0.818 0.682 0.000
Cu: 0.111 0.611 0.500
Cu: 0.389 0.111 0.500
Cu: 0.611 0.889 0.500
Cu: 0.889 0.389 0.500
Br: 0.000 0.000 0.500
Br: 0.500 0.500 0.500

The calculation puts the formation energy (no corrections) at 0.06 eV per atom. Its density of states at the Fermi level is 2.8 states/eV per cell. Its energy above the most stable polymorph in this dataset is 0 meV/atom.